[1]
This record from Alexandria describes crystalline SrReW2 at its relaxed geometry. The functional is PBE-GGA.

The structure in CIF format:
```
data_SrReW2
_cell_length_a 4.6695
_cell_length_b 4.6695
_cell_length_c 4.6695
_cell_angle_alpha 60.00
_cell_angle_beta 60.00
_cell_angle_gamma 60.00
_symmetry_space_group_name_H-M 'P 1'
_symmetry_Int_Tables_number 1
loop_
_symmetry_equiv_pos_as_xyz
'x,y,z'
loop_
_atom_site_label
_atom_site_fract_x
_atom_site_fract_y
_atom_site_fract_z
Sr1 0.0000 0.0000 0.0000
Re1 0.5000 0.5000 0.5000
W1 0.2500 0.2500 0.2500
W2 0.7500 0.7500 0.7500
```

Values from the calculation:
- formation energy (eV/atom) = 1.164
- offset from the most stable computed form (meV per atom) = 416

[2]
This record from Alexandria describes crystalline AcSn2S4 at its relaxed geometry. The functional is PBE-GGA.

The structure in CIF format:
```
data_AcSn2S4
_cell_length_a 6.8053
_cell_length_b 6.8053
_cell_length_c 13.5225
_cell_angle_alpha 90.00
_cell_angle_beta 90.00
_cell_angle_gamma 144.73
_symmetry_space_group_name_H-M 'P 1'
_symmetry_Int_Tables_number 1
loop_
_symmetry_equiv_pos_as_xyz
'x,y,z'
loop_
_atom_site_label
_atom_site_fract_x
_atom_site_fract_y
_atom_site_fract_z
Ac1 0.1135 0.8865 0.7500
Ac2 0.8865 0.1135 0.2500
Sn1 0.3699 0.6301 0.5627
Sn2 0.3699 0.6301 0.9373
Sn3 0.6301 0.3699 0.0627
Sn4 0.6301 0.3699 0.4373
S1 0.0000 0.0000 0.0000
S2 0.0000 0.0000 0.5000
S3 0.2751 0.7249 0.1191
S4 0.2751 0.7249 0.3809
S5 0.4505 0.5495 0.7500
S6 0.5495 0.4505 0.2500
S7 0.7249 0.2751 0.6191
S8 0.7249 0.2751 0.8809
```

Values from the calculation:
- E_form (uncorrected) (eV per atom) = -0.978

[3]
This record from Alexandria describes crystalline Mn2InFeTe at its relaxed geometry. The functional is PBE-GGA.

The structure in CIF format:
```
data_Mn2InFeTe
_cell_length_a 4.9925
_cell_length_b 4.9925
_cell_length_c 5.6852
_cell_angle_alpha 90.00
_cell_angle_beta 90.00
_cell_angle_gamma 90.00
_symmetry_space_group_name_H-M 'P 1'
_symmetry_Int_Tables_number 1
loop_
_symmetry_equiv_pos_as_xyz
'x,y,z'
loop_
_atom_site_label
_atom_site_fract_x
_atom_site_fract_y
_atom_site_fract_z
Mn1 0.0000 0.5000 0.0000
Mn2 0.5000 0.0000 0.0000
In1 0.0000 0.0000 0.0000
Fe1 0.5000 0.5000 0.5000
Te1 0.0000 0.0000 0.5000
```

Values from the calculation:
- E_form (uncorrected) (eV per atom) = 1.801

Number 1: ρ 14.80 Mg/m³. Number 2: ρ 5.44 Mg/m³. Number 3: ρ 4.78 Mg/m³.